1.
Computed, not measured: NdSc3Cu8 after structural relaxation at the PBE level of DFT.

Uncorrected energy in eV/atom: -4.910
Total magnetic moment in μB/f.u.: 0.00
Density in g/cm³: 6.829
Formation energy in meV/atom: -199

abc: 5.144 5.144 8.356
angles: 90.00 90.00 120.00
Fractional coordinates of all 12 atoms:
1 Sc 0.667 0.333 0.049
2 Sc 0.667 0.333 0.423
3 Sc 0.000 0.000 0.962
4 Cu 0.168 0.335 0.244
5 Cu 0.502 0.004 0.757
6 Cu 0.502 0.498 0.757
7 Cu 0.996 0.498 0.757
8 Cu 0.333 0.667 0.499
9 Cu 0.665 0.832 0.244
10 Cu 0.168 0.832 0.244
11 Cu 0.333 0.667 0.997
12 Nd 0.000 0.000 0.566

2.
Computed, not measured: NdSc5Cu6 after structural relaxation at the PBE level of DFT.

Uncorrected energy in eV/atom: -5.315
Total magnetic moment in μB/f.u.: 0.00
Density in g/cm³: 5.683
Formation energy in meV/atom: -231

abc: 4.700 6.587 8.148
angles: 113.84 106.56 90.00
Fractional coordinates of all 12 atoms:
1 Cu 0.825 0.090 0.651
2 Cu 0.500 0.281 0.000
3 Cu 0.175 0.439 0.349
4 Cu 0.500 0.719 0.000
5 Cu 0.825 0.561 0.651
6 Cu 0.175 0.910 0.349
7 Sc 0.333 0.833 0.666
8 Sc 0.332 0.331 0.663
9 Sc 0.668 0.669 0.337
10 Sc 0.667 0.167 0.334
11 Sc 0.000 0.500 0.000
12 Nd 0.000 0.000 0.000

Q: Look up the uncorrected energy of the second one.
A: -5.315 eV/atom

Q: The highest density belongs to which entry?
A: NdSc3Cu8

Repeat the second record exactly.
Computed, not measured: NdSc5Cu6 after structural relaxation at the PBE level of DFT.

Uncorrected energy in eV/atom: -5.315
Total magnetic moment in μB/f.u.: 0.00
Density in g/cm³: 5.683
Formation energy in meV/atom: -231

abc: 4.700 6.587 8.148
angles: 113.84 106.56 90.00
Fractional coordinates of all 12 atoms:
1 Cu 0.825 0.090 0.651
2 Cu 0.500 0.281 0.000
3 Cu 0.175 0.439 0.349
4 Cu 0.500 0.719 0.000
5 Cu 0.825 0.561 0.651
6 Cu 0.175 0.910 0.349
7 Sc 0.333 0.833 0.666
8 Sc 0.332 0.331 0.663
9 Sc 0.668 0.669 0.337
10 Sc 0.667 0.167 0.334
11 Sc 0.000 0.500 0.000
12 Nd 0.000 0.000 0.000

Q: Which value of density does entry 2 give?
A: 5.683 g/cm³